# Cd3W | Alexandria via LeMat-Bulk | PBE | relaxed
# V: 156 Å³ per cell
# energy above the most stable polymorph in this dataset: 42 meV per atom
# calculated formation energy: 1.70 eV per formula unit
data_Cd3W
_chemical_formula_sum 'Cd6 W2'
_space_group_name_H-M_alt 'C m m m'
_space_group_IT_number 65
_space_group_name_Hall '-C 2 2'
_cell_length_a 3.515
_cell_length_b 4.565
_cell_length_c 9.746
_cell_angle_alpha 90.00
_cell_angle_beta 90.00
_cell_angle_gamma 90.00
loop_
_atom_site_label
_atom_site_type_symbol
_atom_site_fract_x
_atom_site_fract_y
_atom_site_fract_z
_atom_site_occupancy
Cd1 Cd 0.000 0.000 0.000 1
Cd2 Cd 0.000 0.500 0.264 1
W1 W 0.000 0.000 0.500 1


# Cd4AgPb | Alexandria via LeMat-Bulk | PBE | relaxed
# V: 579 Å³ per cell
# energy above the most stable polymorph in this dataset: 0 meV per atom
# calculated formation energy: 0.26 eV per formula unit
data_Cd4AgPb
_chemical_formula_sum 'Cd16 Ag4 Pb4'
_space_group_name_H-M_alt 'C 1 2/m 1'
_space_group_IT_number 12
_cell_length_a 13.722
_cell_length_b 7.482
_cell_length_c 6.058
_cell_angle_alpha 90.00
_cell_angle_beta 111.53
_cell_angle_gamma 90.00
loop_
_space_group_symop_operation_xyz
'x,y,z'
'-x,-y,-z'
'-x,y,-z'
'x,-y,z'
'x+1/2,y+1/2,z'
'-x+1/2,-y+1/2,-z'
'-x+1/2,y+1/2,-z'
'x+1/2,-y+1/2,z'
loop_
_atom_site_label
_atom_site_type_symbol
_atom_site_fract_x
_atom_site_fract_y
_atom_site_fract_z
_atom_site_occupancy
Cd1 Cd 0.000 0.193 0.000 1
Cd2 Cd 0.116 0.201 0.553 1
Cd3 Cd 0.182 0.500 0.252 1
Ag1 Ag 0.031 0.500 0.751 1
Pb1 Pb 0.224 0.000 0.147 1


# Ac2Ga2BOs2 | Alexandria via LeMat-Bulk | PBE | relaxed
# V: 303 Å³ per cell
# calculated formation energy: -2.59 eV per formula unit
data_Ac2Ga2BOs2
_chemical_formula_sum 'Ac4 Ga4 B2 Os4'
_space_group_name_H-M_alt 'C 1 2/m 1'
_space_group_IT_number 12
_cell_length_a 11.422
_cell_length_b 4.508
_cell_length_c 7.767
_cell_angle_alpha 90.00
_cell_angle_beta 130.71
_cell_angle_gamma 90.00
loop_
_space_group_symop_operation_xyz
'x,y,z'
'-x,-y,-z'
'-x,y,-z'
'x,-y,z'
'x+1/2,y+1/2,z'
'-x+1/2,-y+1/2,-z'
'-x+1/2,y+1/2,-z'
'x+1/2,-y+1/2,z'
loop_
_atom_site_label
_atom_site_type_symbol
_atom_site_fract_x
_atom_site_fract_y
_atom_site_fract_z
_atom_site_occupancy
Ac1 Ac 0.061 0.000 0.321 1
Ga1 Ga 0.171 0.500 0.111 1
B1 B 0.000 0.500 0.500 1
Os1 Os 0.202 0.500 0.813 1


# SrAgBiCl6 | Alexandria via LeMat-Bulk | PBE | relaxed
# V: 540 Å³ per cell
# energy relative to the elements, uncorrected: -1338.7 meV per atom
data_SrAgBiCl6
_chemical_formula_sum 'Sr2 Ag2 Bi2 Cl12'
_space_group_name_H-M_alt 'P -3 1 c'
_space_group_IT_number 163
_space_group_name_Hall '-P 3 2c'
_cell_length_a 7.1836
_cell_length_b 7.1836
_cell_length_c 12.0924
_cell_angle_alpha 90.00
_cell_angle_beta 90.00
_cell_angle_gamma 120.00
loop_
_atom_site_label
_atom_site_type_symbol
_atom_site_fract_x
_atom_site_fract_y
_atom_site_fract_z
_atom_site_occupancy
Sr1 Sr 0.3333 0.6667 0.2500 1
Ag1 Ag 0.0000 0.0000 0.0000 1
Bi1 Bi 0.3333 0.6667 0.7500 1
Cl1 Cl 0.0188 0.3458 0.6238 1


# PmSmMgSb | Alexandria via LeMat-Bulk | PBE | relaxed
# V: 448 Å³ per cell
# energy relative to the elements, uncorrected: -450.7 meV per atom
data_PmSmMgSb
_chemical_formula_sum 'Pm4 Sm4 Mg4 Sb4'
_space_group_name_H-M_alt 'F -4 3 m'
_space_group_IT_number 216
_space_group_name_Hall 'F -4 2 3'
_cell_length_a 7.652
_cell_length_b 7.652
_cell_length_c 7.652
_cell_angle_alpha 90.00
_cell_angle_beta 90.00
_cell_angle_gamma 90.00
loop_
_atom_site_label
_atom_site_type_symbol
_atom_site_fract_x
_atom_site_fract_y
_atom_site_fract_z
_atom_site_occupancy
Pm1 Pm 0.000 0.000 0.000 1
Sm1 Sm 0.000 0.000 0.500 1
Mg1 Mg 0.250 0.250 0.250 1
Sb1 Sb 0.250 0.250 0.750 1


# HfMg14Mo | Alexandria via LeMat-Bulk | PBE | relaxed
# V: 345 Å³ per cell
# energy above the most stable polymorph in this dataset: 47 meV per atom
# calculated formation energy: 2.47 eV per formula unit
data_HfMg14Mo
_chemical_formula_sum 'Hf1 Mg14 Mo1'
_space_group_name_H-M_alt 'P -6 m 2'
_space_group_IT_number 187
_space_group_name_Hall 'P -6 2'
_cell_length_a 6.3244
_cell_length_b 6.3244
_cell_length_c 9.9711
_cell_angle_alpha 90.00
_cell_angle_beta 90.00
_cell_angle_gamma 120.00
loop_
_atom_site_label
_atom_site_type_symbol
_atom_site_fract_x
_atom_site_fract_y
_atom_site_fract_z
_atom_site_occupancy
Hf1 Hf 0.0000 0.0000 0.0000 1
Mg1 Mg 0.0084 0.5042 0.0000 1
Mg2 Mg 0.1597 0.3194 0.2585 1
Mg3 Mg 0.5013 0.0026 0.5000 1
Mg4 Mg 0.6667 0.3333 0.2402 1
Mo1 Mo 0.0000 0.0000 0.5000 1


# BeIn2Br | Alexandria via LeMat-Bulk | PBE | relaxed
# V: 99 Å³ per cell
# energy above the most stable polymorph in this dataset: 217 meV per atom
# energy relative to the elements, uncorrected: 218.4 meV per atom
data_BeIn2Br
_chemical_formula_sum 'Be1 In2 Br1'
_space_group_name_H-M_alt 'P 4 m m'
_space_group_IT_number 99
_cell_length_a 3.200
_cell_length_b 3.200
_cell_length_c 9.704
_cell_angle_alpha 90.00
_cell_angle_beta 90.00
_cell_angle_gamma 90.00
loop_
_space_group_symop_operation_xyz
'x,y,z'
'-y,x,z'
'-x,-y,z'
'y,-x,z'
'-x,y,z'
'y,x,z'
'x,-y,z'
'-y,-x,z'
loop_
_atom_site_label
_atom_site_type_symbol
_atom_site_fract_x
_atom_site_fract_y
_atom_site_fract_z
_atom_site_occupancy
Be1 Be 0.000 0.000 0.000 1
In1 In 0.000 0.000 0.523 1
In2 In 0.500 0.500 0.797 1
Br1 Br 0.500 0.500 0.135 1


# SrTaBr | Alexandria via LeMat-Bulk | PBE | relaxed
# V: 472 Å³ per cell
# energy above the most stable polymorph in this dataset: 1754 meV per atom
# energy relative to the elements, uncorrected: 1180.1 meV per atom
data_SrTaBr
_chemical_formula_sum 'Sr4 Ta4 Br4'
_space_group_name_H-M_alt 'F -4 3 m'
_space_group_IT_number 216
_space_group_name_Hall 'F -4 2 3'
_cell_length_a 7.788
_cell_length_b 7.788
_cell_length_c 7.788
_cell_angle_alpha 90.00
_cell_angle_beta 90.00
_cell_angle_gamma 90.00
loop_
_atom_site_label
_atom_site_type_symbol
_atom_site_fract_x
_atom_site_fract_y
_atom_site_fract_z
_atom_site_occupancy
Sr1 Sr 0.000 0.000 0.000 1
Ta1 Ta 0.250 0.250 0.250 1
Br1 Br 0.250 0.250 0.750 1


# La2Dy5Er12 | Alexandria via LeMat-Bulk | PBE | relaxed
# V: 1210 Å³ per cell
# energy above the most stable polymorph in this dataset: 0 meV per atom
# calculated formation energy: 2.22 eV per formula unit
data_La2Dy5Er12
_chemical_formula_sum 'La4 Dy10 Er24'
_space_group_name_H-M_alt 'C 1 2/m 1'
_space_group_IT_number 12
_cell_length_a 17.309
_cell_length_b 11.529
_cell_length_c 6.189
_cell_angle_alpha 90.00
_cell_angle_beta 101.48
_cell_angle_gamma 90.00
loop_
_space_group_symop_operation_xyz
'x,y,z'
'-x,-y,-z'
'-x,y,-z'
'x,-y,z'
'x+1/2,y+1/2,z'
'-x+1/2,-y+1/2,-z'
'-x+1/2,y+1/2,-z'
'x+1/2,-y+1/2,z'
loop_
_atom_site_label
_atom_site_type_symbol
_atom_site_fract_x
_atom_site_fract_y
_atom_site_fract_z
_atom_site_occupancy
La1 La 0.000 0.216 0.000 1
Dy1 Dy 0.000 0.500 0.500 1
Dy2 Dy 0.172 0.000 0.887 1
Dy3 Dy 0.218 0.500 0.563 1
Er1 Er 0.075 0.000 0.351 1
Er2 Er 0.103 0.261 0.618 1
Er3 Er 0.107 0.500 0.012 1
Er4 Er 0.204 0.258 0.215 1


# LaNdSe2 | Alexandria via LeMat-Bulk | PBE | relaxed
# V: 331 Å³ per cell
# energy above the most stable polymorph in this dataset: 0 meV per atom
# energy relative to the elements, uncorrected: -1925.6 meV per atom
data_LaNdSe2
_chemical_formula_sum 'La3 Nd3 Se6'
_space_group_name_H-M_alt 'R -3 m'
_space_group_IT_number 166
_space_group_name_Hall '-R 3 2"'
_cell_length_a 4.2798
_cell_length_b 4.2798
_cell_length_c 20.8423
_cell_angle_alpha 90.00
_cell_angle_beta 90.00
_cell_angle_gamma 120.00
loop_
_atom_site_label
_atom_site_type_symbol
_atom_site_fract_x
_atom_site_fract_y
_atom_site_fract_z
_atom_site_occupancy
La1 La 0.0000 0.0000 0.0000 1
Nd1 Nd 0.0000 0.0000 0.5000 1
Se1 Se 0.0000 0.0000 0.2484 1


# CrTc2HPd | Alexandria via LeMat-Bulk | PBE | relaxed
# V: 59 Å³ per cell
# energy: -38.5 eV/f.u.
data_CrTc2HPd
_chemical_formula_sum 'Cr1 Tc2 H1 Pd1'
_space_group_name_H-M_alt 'P 4/m m m'
_space_group_IT_number 123
_space_group_name_Hall '-P 4 2'
_cell_length_a 3.879
_cell_length_b 3.879
_cell_length_c 3.889
_cell_angle_alpha 90.00
_cell_angle_beta 90.00
_cell_angle_gamma 90.00
loop_
_atom_site_label
_atom_site_type_symbol
_atom_site_fract_x
_atom_site_fract_y
_atom_site_fract_z
_atom_site_occupancy
Cr1 Cr 0.000 0.000 0.000 1
Tc1 Tc 0.000 0.500 0.500 1
H1 H 0.000 0.000 0.500 1
Pd1 Pd 0.500 0.500 0.000 1


# CaPb2 | Alexandria via LeMat-Bulk | PBE | relaxed
# V: 187 Å³ per cell
# calculated formation energy: -0.90 eV per formula unit
data_CaPb2
_chemical_formula_sum 'Ca2 Pb4'
_space_group_name_H-M_alt 'P 63/m m c'
_space_group_IT_number 194
_space_group_name_Hall '-P 6c 2c'
_cell_length_a 5.6250
_cell_length_b 5.6250
_cell_length_c 6.8122
_cell_angle_alpha 90.00
_cell_angle_beta 90.00
_cell_angle_gamma 120.00
loop_
_atom_site_label
_atom_site_type_symbol
_atom_site_fract_x
_atom_site_fract_y
_atom_site_fract_z
_atom_site_occupancy
Ca1 Ca 0.3333 0.6667 0.2500 1
Pb1 Pb 0.0000 0.0000 0.0000 1
Pb2 Pb 0.3333 0.6667 0.7500 1


# Be7Tl | Alexandria via LeMat-Bulk | PBE | relaxed
# V: 345 Å³ per cell
# calculated formation energy: 4.87 eV per formula unit
data_Be7Tl
_chemical_formula_sum 'Be28 Tl4'
_space_group_name_H-M_alt 'F m -3 m'
_space_group_IT_number 225
_space_group_name_Hall '-F 4 2 3'
_cell_length_a 7.014
_cell_length_b 7.014
_cell_length_c 7.014
_cell_angle_alpha 90.00
_cell_angle_beta 90.00
_cell_angle_gamma 90.00
loop_
_atom_site_label
_atom_site_type_symbol
_atom_site_fract_x
_atom_site_fract_y
_atom_site_fract_z
_atom_site_occupancy
Be1 Be 0.000 0.000 0.000 1
Be2 Be 0.000 0.250 0.250 1
Tl1 Tl 0.000 0.000 0.500 1


# PrNd6Sn2 | Alexandria via LeMat-Bulk | PBE | relaxed
# V: 583 Å³ per cell
# calculated formation energy: -0.36 eV per formula unit
data_PrNd6Sn2
_chemical_formula_sum 'Pr2 Nd12 Sn4'
_space_group_name_H-M_alt 'C 1 2/m 1'
_space_group_IT_number 12
_cell_length_a 13.519
_cell_length_b 7.798
_cell_length_c 5.526
_cell_angle_alpha 90.00
_cell_angle_beta 90.01
_cell_angle_gamma 90.00
loop_
_space_group_symop_operation_xyz
'x,y,z'
'-x,-y,-z'
'-x,y,-z'
'x,-y,z'
'x+1/2,y+1/2,z'
'-x+1/2,-y+1/2,-z'
'-x+1/2,y+1/2,-z'
'x+1/2,-y+1/2,z'
loop_
_atom_site_label
_atom_site_type_symbol
_atom_site_fract_x
_atom_site_fract_y
_atom_site_fract_z
_atom_site_occupancy
Pr1 Pr 0.000 0.000 0.000 1
Nd1 Nd 0.097 0.292 0.734 1
Nd2 Nd 0.195 0.000 0.265 1
Sn1 Sn 0.167 0.500 0.230 1


# Cs2NaBiF | Alexandria via LeMat-Bulk | PBE | relaxed
# V: 190 Å³ per cell
# energy relative to the elements, uncorrected: -1138.3 meV per atom
data_Cs2NaBiF
_chemical_formula_sum 'Cs2 Na1 Bi1 F1'
_space_group_name_H-M_alt 'P 4/m m m'
_space_group_IT_number 123
_space_group_name_Hall '-P 4 2'
_cell_length_a 6.530
_cell_length_b 6.530
_cell_length_c 4.457
_cell_angle_alpha 90.00
_cell_angle_beta 90.00
_cell_angle_gamma 90.00
loop_
_atom_site_label
_atom_site_type_symbol
_atom_site_fract_x
_atom_site_fract_y
_atom_site_fract_z
_atom_site_occupancy
Cs1 Cs 0.000 0.500 0.000 1
Na1 Na 0.000 0.000 0.500 1
Bi1 Bi 0.500 0.500 0.500 1
F1 F 0.000 0.000 0.000 1


# DyErTm5 | Alexandria via LeMat-Bulk | PBE | relaxed
# V: 557 Å³ per cell
# energy above the most stable polymorph in this dataset: 817 meV per atom
# calculated formation energy: 7.16 eV per formula unit
data_DyErTm5
_chemical_formula_sum 'Dy2 Er2 Tm10'
_space_group_name_H-M_alt 'I m m 2'
_space_group_IT_number 44
_cell_length_a 7.941
_cell_length_b 11.586
_cell_length_c 6.054
_cell_angle_alpha 90.00
_cell_angle_beta 90.00
_cell_angle_gamma 90.00
loop_
_space_group_symop_operation_xyz
'x,y,z'
'-x,-y,z'
'-x,y,z'
'x,-y,z'
'x+1/2,y+1/2,z+1/2'
'-x+1/2,-y+1/2,z+1/2'
'-x+1/2,y+1/2,z+1/2'
'x+1/2,-y+1/2,z+1/2'
loop_
_atom_site_label
_atom_site_type_symbol
_atom_site_fract_x
_atom_site_fract_y
_atom_site_fract_z
_atom_site_occupancy
Dy1 Dy 0.000 0.000 0.000 1
Er1 Er 0.000 0.500 0.261 1
Tm1 Tm 0.000 0.257 0.999 1
Tm2 Tm 0.000 0.500 0.741 1
Tm3 Tm 0.179 0.000 0.500 1


# CsGa2Sn | Alexandria via LeMat-Bulk | PBE | relaxed
# V: 122 Å³ per cell
# calculated formation energy: -0.10 eV per formula unit
data_CsGa2Sn
_chemical_formula_sum 'Cs1 Ga2 Sn1'
_space_group_name_H-M_alt 'P 4/m m m'
_space_group_IT_number 123
_space_group_name_Hall '-P 4 2'
_cell_length_a 3.794
_cell_length_b 3.794
_cell_length_c 8.460
_cell_angle_alpha 90.00
_cell_angle_beta 90.00
_cell_angle_gamma 90.00
loop_
_atom_site_label
_atom_site_type_symbol
_atom_site_fract_x
_atom_site_fract_y
_atom_site_fract_z
_atom_site_occupancy
Cs1 Cs 0.000 0.000 0.000 1
Ga1 Ga 0.500 0.500 0.325 1
Sn1 Sn 0.000 0.000 0.500 1


# Li7Ga12Ag | Alexandria via LeMat-Bulk | PBE | relaxed
# V: 956 Å³ per cell
# calculated formation energy: 0.93 eV per formula unit
data_Li7Ga12Ag
_chemical_formula_sum 'Li14 Ga24 Ag2'
_space_group_name_H-M_alt 'I m -3'
_space_group_IT_number 204
_space_group_name_Hall '-I 2 2 3'
_cell_length_a 9.852
_cell_length_b 9.852
_cell_length_c 9.852
_cell_angle_alpha 90.00
_cell_angle_beta 90.00
_cell_angle_gamma 90.00
loop_
_atom_site_label
_atom_site_type_symbol
_atom_site_fract_x
_atom_site_fract_y
_atom_site_fract_z
_atom_site_occupancy
Li1 Li 0.000 0.000 0.500 1
Li2 Li 0.250 0.250 0.250 1
Ga1 Ga 0.000 0.236 0.144 1
Ag1 Ag 0.000 0.000 0.000 1